Entry from the Alexandria database: Zn2HN after structural relaxation (PBE).

Calculated values
The calculation puts the spin magnetization at 0.0 μB per cell. For the polymorph energy (0 for the lowest one), the calculation gives 0.033 eV/atom. As for the volume: 12.0 Å³ per atom. The density comes out at 5.06 g cm⁻³.

```
data_Zn2HN
_cell_length_a 4.432
_cell_length_b 4.432
_cell_length_c 9.753
_cell_angle_alpha 90.00
_cell_angle_beta 90.00
_cell_angle_gamma 90.00
_space_group_name_H-M_alt 'I -4 2 d'
_space_group_IT_number 122
_space_group_name_Hall 'I -4 2bw'
loop_
_atom_site_label
_atom_site_fract_x
_atom_site_fract_y
_atom_site_fract_z
Zn1 0.229 0.250 0.125
H1 0.000 0.000 0.500
N1 0.000 0.000 0.000
```